1.
{"formula": "LaUPdS4", "functional": "PBE", "state": "optimized geometry", "e_form_raw_mev_per_atom": -1338, "lattice": [[6.515, 0.000, 0.000], [0.000, 6.042, 0.000], [-2.425, 0.000, 7.587]], "species": ["La", "La", "U", "U", "Pd", "Pd", "S", "S", "S", "S", "S", "S", "S", "S"], "frac_coords": [[0.244, 0.250, 0.056], [0.756, 0.750, 0.944], [0.239, 0.250, 0.558], [0.761, 0.750, 0.442], [0.233, 0.750, 0.318], [0.767, 0.250, 0.682], [0.038, 0.521, 0.736], [0.038, 0.979, 0.736], [0.449, 0.750, 0.123], [0.460, 0.750, 0.611], [0.540, 0.250, 0.389], [0.551, 0.250, 0.877], [0.962, 0.021, 0.264], [0.962, 0.479, 0.264]]}


2.
{"formula": "La2ZrPdS5", "functional": "PBE", "state": "optimized geometry", "e_form_raw_mev_per_atom": -1718, "lattice": [[1.954, -8.421, 0.000], [1.954, 8.421, 0.000], [0.000, 0.000, 11.800]], "species": ["La", "La", "La", "La", "Zr", "Zr", "Pd", "Pd", "S", "S", "S", "S", "S", "S", "S", "S", "S", "S"], "frac_coords": [[0.113, 0.887, 0.500], [0.123, 0.877, 0.125], [0.877, 0.123, 0.625], [0.887, 0.113, 0.000], [0.187, 0.813, 0.819], [0.813, 0.187, 0.319], [0.430, 0.570, 0.245], [0.570, 0.430, 0.745], [0.043, 0.957, 0.864], [0.292, 0.708, 0.472], [0.300, 0.700, 0.165], [0.349, 0.651, 0.815], [0.496, 0.504, 0.572], [0.504, 0.496, 0.072], [0.651, 0.349, 0.315], [0.700, 0.300, 0.665], [0.708, 0.292, 0.972], [0.957, 0.043, 0.364]]}


3.
{"formula": "La2SbPd", "functional": "PBE", "state": "optimized geometry", "e_form_raw_mev_per_atom": -690, "lattice": [[-4.045, 4.045, 3.868], [4.045, -4.045, 3.868], [4.045, 4.045, -3.868]], "species": ["La", "La", "La", "La", "Sb", "Sb", "Pd", "Pd"], "frac_coords": [[0.095, 0.625, 0.970], [0.375, 0.345, 0.470], [0.655, 0.125, 0.030], [0.875, 0.905, 0.530], [0.250, 0.750, 0.500], [0.500, 0.500, 0.000], [0.000, 0.000, 0.000], [0.750, 0.250, 0.500]]}


4.
{"formula": "LaSb3Pd", "functional": "PBE", "state": "optimized geometry", "e_form_raw_mev_per_atom": 898, "lattice": [[6.003, 0.000, 0.000], [0.000, 6.003, 0.000], [0.000, 0.000, 6.003]], "species": ["La", "Sb", "Sb", "Sb", "Pd"], "frac_coords": [[0.000, 0.000, 0.000], [0.000, 0.000, 0.500], [0.000, 0.500, 0.000], [0.500, 0.000, 0.000], [0.500, 0.500, 0.500]]}


5.
{"formula": "LaSb2Pd", "functional": "PBE", "state": "optimized geometry", "e_form_raw_mev_per_atom": -486, "lattice": [[0.000, 3.693, 3.693], [3.693, 0.000, 3.693], [3.693, 3.693, 0.000]], "species": ["La", "Sb", "Sb", "Pd"], "frac_coords": [[0.000, 0.000, 0.000], [0.250, 0.250, 0.250], [0.750, 0.750, 0.750], [0.500, 0.500, 0.500]]}


6.
{"formula": "LaSb2Pd6", "functional": "PBE", "state": "optimized geometry", "polymorph_energy_mev_per_atom": 0, "e_form_raw_mev_per_atom": -500, "lattice": [[4.825, -3.437, 0.000], [4.825, 3.437, 0.000], [-0.930, 0.000, 5.362]], "species": ["La", "Sb", "Sb", "Pd", "Pd", "Pd", "Pd", "Pd", "Pd"], "frac_coords": [[0.000, 0.000, 0.000], [0.387, 0.387, 0.193], [0.613, 0.613, 0.807], [0.079, 0.484, 0.757], [0.206, 0.794, 0.500], [0.484, 0.079, 0.757], [0.516, 0.921, 0.243], [0.794, 0.206, 0.500], [0.921, 0.516, 0.243]]}


7.
{"formula": "La3Sb4Pd4", "functional": "PBE", "state": "optimized geometry", "e_form_raw_mev_per_atom": -987, "lattice": [[-2.203, 2.325, 13.347], [2.203, -2.325, 13.347], [2.203, 2.325, -13.347]], "species": ["La", "La", "La", "Sb", "Sb", "Sb", "Sb", "Pd", "Pd", "Pd", "Pd"], "frac_coords": [[0.000, 0.000, 0.000], [0.345, 0.845, 0.500], [0.655, 0.155, 0.500], [0.194, 0.694, 0.500], [0.446, 0.446, 0.000], [0.554, 0.554, 0.000], [0.806, 0.306, 0.500], [0.096, 0.596, 0.500], [0.253, 0.253, 0.000], [0.747, 0.747, 0.000], [0.904, 0.404, 0.500]]}


8.
{"formula": "LaSbPd", "functional": "PBE", "state": "optimized geometry", "e_form_raw_mev_per_atom": -1141, "lattice": [[4.637, 0.000, 0.000], [-2.319, 4.016, 0.000], [0.000, 0.000, 16.536]], "species": ["La", "La", "La", "La", "Sb", "Sb", "Sb", "Sb", "Pd", "Pd", "Pd", "Pd"], "frac_coords": [[0.000, 0.000, 0.000], [0.000, 0.000, 0.250], [0.000, 0.000, 0.500], [0.000, 0.000, 0.750], [0.333, 0.667, 0.121], [0.333, 0.667, 0.379], [0.667, 0.333, 0.621], [0.667, 0.333, 0.879], [0.333, 0.667, 0.632], [0.333, 0.667, 0.868], [0.667, 0.333, 0.132], [0.667, 0.333, 0.368]]}


9.
{"formula": "LaSb2Pd", "functional": "PBE", "state": "optimized geometry", "e_form_raw_mev_per_atom": -894, "lattice": [[4.549, 0.000, 0.000], [0.000, 4.549, 0.000], [0.000, 0.000, 10.057]], "species": ["La", "La", "Sb", "Sb", "Sb", "Sb", "Pd", "Pd"], "frac_coords": [[0.250, 0.250, 0.248], [0.750, 0.750, 0.752], [0.250, 0.250, 0.852], [0.250, 0.750, 0.500], [0.750, 0.250, 0.500], [0.750, 0.750, 0.148], [0.250, 0.750, 0.000], [0.750, 0.250, 0.000]]}


10.
{"formula": "LaSbPd2", "functional": "PBE", "state": "optimized geometry", "e_form_raw_mev_per_atom": -709, "lattice": [[3.834, 0.000, 0.000], [0.000, 4.449, 0.000], [0.000, 0.000, 5.680]], "species": ["La", "Sb", "Pd", "Pd"], "frac_coords": [[0.000, 0.000, 0.000], [0.500, 0.000, 0.500], [0.500, 0.500, 0.239], [0.500, 0.500, 0.761]]}


no.,V (Å³/cell)
1,298.65
2,388.26
3,253.14
4,216.27
5,100.72
6,177.87
7,273.45
8,307.94
9,208.12
10,96.90